# GaCo3Re | Alexandria via LeMat-Bulk | PBE | optimized geometry
# - SG: Pm-3m
# - Final energy: -6.0127 eV/atom
data_GaCo3Re
_chemical_formula_sum 'Ga1 Co3 Re1'
_space_group_name_H-M_alt 'P 1'
_space_group_IT_number 1
_cell_length_a 4.194
_cell_length_b 4.194
_cell_length_c 4.194
_cell_angle_alpha 90.00
_cell_angle_beta 90.00
_cell_angle_gamma 90.00
loop_
_space_group_symop_operation_xyz
'x,y,z'
loop_
_atom_site_label
_atom_site_fract_x
_atom_site_fract_y
_atom_site_fract_z
_atom_site_occupancy
Co1 0.000 0.000 0.500 1
Co2 0.500 0.000 0.000 1
Co3 0.000 0.500 0.000 1
Ga1 0.000 0.000 0.000 1
Re1 0.500 0.500 0.500 1